First-principles (PBEsol) data for crystalline TlReRu2 at its relaxed geometry, as listed in Alexandria via LeMat-Bulk.

Output
energy of formation from the pure elements	2.65	eV per formula unit
magnetic moment	0.0	Bohr magnetons per cell

```
TlReRu2
1.0
-1.909 1.909 4.203
1.909 -1.909 4.203
1.909 1.909 -4.203
Tl Re Ru
1 1 2
direct
0.000 0.000 0.000 Tl
0.750 0.250 0.500 Re
0.250 0.750 0.500 Ru
0.500 0.500 0.000 Ru
```


First-principles (PBEsol) data for crystalline TlReRu at its relaxed geometry, as listed in Alexandria via LeMat-Bulk.

Output
energy of formation from the pure elements	1.30	eV per formula unit
magnetic moment	0.0	Bohr magnetons per cell

```
TlReRu
1.0
-1.441 1.441 5.952
1.441 -1.441 5.952
1.441 1.441 -5.952
Tl Re Ru
1 1 1
direct
0.000 0.000 0.000 Tl
0.687 0.687 0.000 Re
0.318 0.318 0.000 Ru
```


First-principles (PBEsol) data for crystalline TlReRu2 at its relaxed geometry, as listed in Alexandria via LeMat-Bulk.

Output
energy of formation from the pure elements	1.15	eV per formula unit
magnetic moment	0.0	Bohr magnetons per cell

```
TlReRu2
1.0
2.847 0.000 0.000
0.000 2.847 0.000
0.000 0.000 7.661
Tl Re Ru
1 1 2
direct
0.000 0.000 0.000 Tl
0.000 0.000 0.500 Re
0.500 0.500 0.277 Ru
0.500 0.500 0.723 Ru
```


First-principles (PBEsol) data for crystalline TlRe2Ru at its relaxed geometry, as listed in Alexandria via LeMat-Bulk.

Output
energy of formation from the pure elements	2.58	eV per formula unit
magnetic moment	0.0	Bohr magnetons per cell

```
TlRe2Ru
1.0
4.577 -1.435 0.000
4.577 1.435 0.000
-0.947 0.000 4.865
Tl Re Ru
1 2 1
direct
0.000 0.000 0.000 Tl
0.234 0.234 0.681 Re
0.493 0.493 0.505 Re
0.761 0.761 0.252 Ru
```